No. 1
Computed, not measured: Li3Zn4 at its PBEsol-relaxed geometry at the SCAN level of DFT.

Values from the calculation:
**Calculated formation energy**: -153 meV per atom
**DOS at the Fermi energy**: 2.07 states/eV/f.u.

abc: 3.006 3.006 22.026
angles: 90.00 90.00 90.00
Space group I4/mmm (No. 139)
Asymmetric unit:
Li: 0.000 0.000 0.000 (multiplicity 2)
Li: 0.000 0.000 0.292 (multiplicity 4)
Zn: 0.000 0.000 0.138 (multiplicity 4)
Zn: 0.000 0.000 0.432 (multiplicity 4)

***

No. 2
Computed, not measured: Li4Zn at its PBEsol-relaxed geometry at the SCAN level of DFT.

Values from the calculation:
**Calculated formation energy**: -88 meV per atom
**DOS at the Fermi energy**: 2.01 states/eV/f.u.

abc: 6.346 6.346 4.076
angles: 90.00 90.00 90.00
Space group I4/m (No. 87)
Asymmetric unit:
Li: 0.105 0.709 0.000 (multiplicity 8)
Zn: 0.000 0.000 0.500 (multiplicity 2)

***

Table of total magnetic moment (μB per formula unit), in record order: 0.00 0.05